VASP calculation (PBE+U) on MnInGeO4 after structural relaxation.

The final energy comes out at -89.53 eV for the cell shown. The space-group type is Cmcm (63). As for the density: 5383 kg/m3.

```
MnInGeO4
1.0
-1.725 4.451 2.731
-2.066 -4.792 1.736
5.279 -0.672 4.430
O Mn Ge In
8 2 2 2
Direct
0.264 0.207 0.250
0.736 0.793 0.750
0.207 0.264 0.750
0.793 0.736 0.250
0.730 0.270 0.544
0.270 0.730 0.044
0.270 0.730 0.456
0.730 0.270 0.956
0.500 0.500 0.500
0.500 0.500 0.000
0.843 0.157 0.750
0.157 0.843 0.250
0.171 0.829 0.750
0.829 0.171 0.250
```